# Th4Sb2OsN2

A relaxed Th4Sb2OsN2 crystal (PBE-GGA, Alexandria via LeMat-Bulk).

The structure in POSCAR format:
```
Th4Sb2OsN2
1.0
4.165 0.000 0.000
0.000 7.385 0.062
-2.083 -2.853 7.262
Th Sb Os N
4 2 1 2
Direct
0.209 0.160 0.417 Th
0.791 0.840 0.583 Th
0.531 0.769 0.062 Th
0.469 0.231 0.938 Th
0.130 0.540 0.260 Sb
0.870 0.460 0.740 Sb
0.000 0.000 0.000 Os
0.680 0.990 0.361 N
0.320 0.010 0.639 N
```

## Properties
Its volume is 24.90 Å³ per atom. As for the density of states at the Fermi level: 0.52 states/eV per atom. The value obtained for the total energy is -0.3076 Ha/atom. Its uncorrected formation energy is -1.058 eV per atom.